The following is a DFT calculation (PBEsol) of a geometry-optimized TcOsAu2 structure.

Its crystal system is monoclinic. The value obtained for the formation energy is 649 meV/atom.

It has space group C2/m (No. 12), with a = 5.370 Å, b = 9.717 Å, c = 2.719 Å, α = 90.00°, β = 118.38° and γ = 90.00°. Symmetry generates all atoms from Tc at (0.000, 0.000, 0.000), Os at (0.000, 0.500, 0.000) and Au at (0.250, 0.250, 0.500).

---

The following is a DFT calculation (PBEsol) of a geometry-optimized Tc2OsAu structure.

Its crystal system is tetragonal. The value obtained for the formation energy is 564 meV/atom.

It has space group P4/mmm (No. 123), with a = 4.619 Å, b = 4.619 Å, c = 2.783 Å, α = 90.00°, β = 90.00° and γ = 90.00°. Symmetry generates all atoms from Tc at (0.000, 0.500, 0.000), Os at (0.000, 0.000, 0.500) and Au at (0.500, 0.500, 0.500).